Here is crystalline Ni2GePIr at its relaxed geometry from the Alexandria database. Energies are from GGA-PBE.

a b c (Å): 4.2906 4.6024 4.2906
angles (deg): 90.00 90.00 90.00
Fractional coordinates of all 5 atoms:
Ir 0.0000 0.5000 0.0000
Ni 0.0000 0.0000 0.5000
Ni 0.5000 0.0000 0.0000
P 0.5000 0.5000 0.5000
Ge 0.0000 0.0000 0.0000

Output
As for the size of the total moment: 0.000 μB/atom.

Here is crystalline Pa2Ni4Ge3Ir at its relaxed geometry from the Alexandria database. Energies are from GGA-PBE.

a b c (Å): 3.8835 3.8835 10.5986
angles (deg): 90.00 90.00 90.00
Fractional coordinates of all 10 atoms:
Ge 0.0000 0.5000 0.1235
Ge 0.5000 0.0000 0.8765
Ge 0.0000 0.0000 0.5000
Ni 0.5000 0.0000 0.6581
Ni 0.0000 0.0000 0.0000
Ni 0.5000 0.5000 0.0000
Ni 0.0000 0.5000 0.3419
Pa 0.5000 0.0000 0.2588
Pa 0.0000 0.5000 0.7412
Ir 0.5000 0.5000 0.5000

Output
As for the size of the total moment: 0.000 μB/atom.

Here is crystalline Pa2NiGe3Ir4 at its relaxed geometry from the Alexandria database. Energies are from GGA-PBE.

a b c (Å): 4.0894 4.0894 10.5271
angles (deg): 90.00 90.00 90.00
Fractional coordinates of all 10 atoms:
Pa 0.5000 0.0000 0.2559
Pa 0.0000 0.5000 0.7441
Ge 0.0000 0.0000 0.5000
Ge 0.0000 0.5000 0.1321
Ge 0.5000 0.0000 0.8679
Ir 0.0000 0.5000 0.3606
Ir 0.0000 0.0000 0.0000
Ir 0.5000 0.5000 0.0000
Ir 0.5000 0.0000 0.6394
Ni 0.5000 0.5000 0.5000

Output
As for the size of the total moment: 0.000 μB/atom.

Here is crystalline Pa2Ni12Ge3Ir at its relaxed geometry from the Alexandria database. Energies are from GGA-PBE.

a b c (Å): 6.3661 6.3661 6.3661
angles (deg): 82.62 82.62 82.62
Fractional coordinates of all 18 atoms:
Ni 0.2969 0.7961 0.7961
Ni 0.6040 0.1059 0.6040
Ni 0.2039 0.2039 0.7031
Ni 0.6040 0.6040 0.1059
Ni 0.3960 0.8941 0.3960
Ni 0.1059 0.6040 0.6040
Ni 0.7031 0.2039 0.2039
Ni 0.2039 0.7031 0.2039
Ni 0.7961 0.2969 0.7961
Ni 0.7961 0.7961 0.2969
Ni 0.3960 0.3960 0.8941
Ni 0.8941 0.3960 0.3960
Pa 0.6765 0.6765 0.6765
Pa 0.3235 0.3235 0.3235
Ge 0.0000 0.0000 0.5000
Ge 0.5000 0.0000 0.0000
Ge 0.0000 0.5000 0.0000
Ir 0.0000 0.0000 0.0000

Output
As for the size of the total moment: 0.000 μB/atom.

Here is crystalline NiGe2IrPd at its relaxed geometry from the Alexandria database. Energies are from GGA-PBE.

a b c (Å): 4.5919 4.5919 4.6076
angles (deg): 90.00 90.00 90.00
Each line ends with the local moment (μB).
Fractional coordinates of all 5 atoms:
Ge 0.5000 0.0000 0.0000  0.00
Ge 0.0000 0.5000 0.0000  0.00
Pd 0.0000 0.0000 0.0000  0.00
Ir 0.5000 0.5000 0.5000  0.10
Ni 0.0000 0.0000 0.5000  0.20

Output
As for the size of the total moment: 0.058 μB/atom.

Here is crystalline PmNiGe2Ir at its relaxed geometry from the Alexandria database. Energies are from GGA-PBE.

a b c (Å): 4.1373 4.1373 5.9574
angles (deg): 110.32 110.32 90.00
Each line ends with the local moment (μB).
Fractional coordinates of all 5 atoms:
Ir 0.7500 0.2500 0.5000  0.17
Pm 0.0000 0.0000 0.0000  0.03
Ge 0.3758 0.3758 0.7515  0.01
Ge 0.6242 0.6242 0.2485  0.01
Ni 0.2500 0.7500 0.5000  0.28

Output
As for the size of the total moment: 0.107 μB/atom.

Here is crystalline Pr2NiGe3Ir4 at its relaxed geometry from the Alexandria database. Energies are from GGA-PBE.

a b c (Å): 4.2155 4.2155 10.3542
angles (deg): 90.00 90.00 90.00
Fractional coordinates of all 10 atoms:
Ir 0.5000 0.5000 0.0000
Ir 0.0000 0.0000 0.0000
Ir 0.5000 0.0000 0.6303
Ir 0.0000 0.5000 0.3697
Ge 0.0000 0.0000 0.5000
Ge 0.0000 0.5000 0.1311
Ge 0.5000 0.0000 0.8689
Pr 0.5000 0.0000 0.2545
Pr 0.0000 0.5000 0.7455
Ni 0.5000 0.5000 0.5000

Output
As for the size of the total moment: 0.000 μB/atom.

Here is crystalline PrNiGe2Ir at its relaxed geometry from the Alexandria database. Energies are from GGA-PBE.

a b c (Å): 4.1678 4.1678 5.9952
angles (deg): 110.34 110.34 90.00
Each line ends with the local moment (μB).
Fractional coordinates of all 5 atoms:
Ni 0.2500 0.7500 0.5000  0.27
Ge 0.6262 0.6262 0.2525  0.01
Ge 0.3738 0.3738 0.7475  0.01
Ir 0.7500 0.2500 0.5000  0.16
Pr 0.0000 0.0000 0.0000  0.03

Output
As for the size of the total moment: 0.103 μB/atom.

Number 1: energy of formation from the pure elements 0.920 eV/atom. Number 2: energy of formation from the pure elements -0.534 eV/atom. Number 3: energy of formation from the pure elements -0.619 eV/atom. Number 4: energy of formation from the pure elements -0.081 eV/atom. Number 5: energy of formation from the pure elements 1.046 eV/atom. Number 6: energy of formation from the pure elements -0.687 eV/atom. Number 7: energy of formation from the pure elements -0.677 eV/atom. Number 8: energy of formation from the pure elements -0.675 eV/atom.